Np2AlSiPt6: relaxed, PBE.

Cell: 8.1270 5.5759 5.5773 Å, 59.97 69.93 90.00°
Element x y z (fractional)
Pt (0.7628, 0.7535, 0.9898)
Pt (0.7625, 0.7534, 0.4937)
Pt (0.2375, 0.2466, 0.5063)
Pt (0.7628, 0.2569, 0.9900)
Pt (0.2372, 0.2465, 0.0102)
Pt (0.2372, 0.7431, 0.0100)
Al (0.5000, 0.5000, 0.0000)
Np (0.6042, 0.2015, 0.5972)
Np (0.3958, 0.7985, 0.4028)
Si (0.0000, 0.0000, 0.0000)

Computed properties:
Magnetic moment in μB per atom: 0.7622
Uncorrected formation energy in eV per atom: -0.58